[1]
This record from Alexandria via LeMat-Bulk describes crystalline Nd6Dy6Tm at its relaxed geometry. The functional is GGA-PBE.

## Properties
D(E_F) in states/eV per atom: 2.164
Energy of formation in eV per atom: 0.281

Cell: 6.7432 6.7432 11.3993 Å, 90.00 90.00 119.99°
Fractional positions:
Dy (0.5000, 0.0000, 0.7533)
Dy (0.0000, 0.5000, 0.7533)
Dy (0.5000, 0.0000, 0.2467)
Dy (0.5000, 0.5000, 0.2468)
Dy (0.5000, 0.5000, 0.7532)
Dy (0.0000, 0.5000, 0.2467)
Nd (0.6666, 0.3334, 0.0000)
Nd (0.6667, 0.3333, 0.5000)
Nd (0.0000, 0.0000, 0.3431)
Nd (0.0000, 0.0000, 0.6569)
Nd (0.3333, 0.6667, 0.5000)
Nd (0.3334, 0.6666, 0.0000)
Tm (0.0000, 0.0000, 0.0000)

[2]
This record from Alexandria via LeMat-Bulk describes crystalline SrLaGa at its relaxed geometry. The functional is GGA-PBE.

## Properties
D(E_F) in states/eV per atom: 0.871
Distance to the lowest polymorph of the same formula in meV per atom: 132.2
Energy of formation in eV per atom: -0.237

Cell: 9.1923 3.9205 5.6516 Å, 90.00 90.00 102.32°
Fractional positions:
Ga (0.8585, 0.6151, 0.1380)
Ga (0.1679, 0.7697, 0.6373)
La (0.4403, 0.4062, 0.6372)
La (0.8750, 0.1257, 0.6376)
Sr (0.5825, 0.9769, 0.1372)
Sr (0.1613, 0.2649, 0.1372)

[3]
This record from Alexandria via LeMat-Bulk describes crystalline Mg5InPd6 at its relaxed geometry. The functional is GGA-PBE.

## Properties
D(E_F) in states/eV per atom: 0.508
Energy of formation in eV per atom: -0.706

Cell: 4.5684 7.9073 7.9073 Å, 121.03 106.95 106.95°
Fractional positions:
Mg (0.0000, 0.3333, 0.6667)
Mg (0.0000, 0.6667, 0.3333)
Mg (0.5000, 0.1665, 0.8335)
Mg (0.5000, 0.5000, 0.5000)
Mg (0.5000, 0.8335, 0.1665)
Pd (0.7549, 0.2550, 0.2550)
Pd (0.2451, 0.7450, 0.7450)
Pd (0.7480, 0.9166, 0.5794)
Pd (0.2520, 0.4206, 0.0834)
Pd (0.2520, 0.0834, 0.4206)
Pd (0.7480, 0.5794, 0.9166)
In (0.0000, 0.0000, 0.0000)

[4]
This record from Alexandria via LeMat-Bulk describes crystalline Li5B8C8 at its relaxed geometry. The functional is GGA-PBE.

## Properties
D(E_F) in states/eV per atom: 0.214
Distance to the lowest polymorph of the same formula in meV per atom: 5.3
Energy of formation in eV per atom: -0.140

Cell: 7.7559 7.7112 5.4135 Å, 100.00 99.94 35.48°
Fractional positions:
B (0.0349, 0.7107, 0.1863)
B (0.5332, 0.2183, 0.9362)
B (0.0383, 0.7101, 0.6871)
B (0.9684, 0.2882, 0.3157)
B (0.5332, 0.2185, 0.4394)
B (0.4635, 0.7803, 0.5611)
B (0.4663, 0.7793, 0.0615)
B (0.9686, 0.2881, 0.8126)
C (0.7971, 0.4573, 0.5636)
C (0.2951, 0.9524, 0.3113)
C (0.2013, 0.5439, 0.9368)
C (0.8040, 0.4575, 0.0654)
C (0.7009, 0.0445, 0.1862)
C (0.2951, 0.9524, 0.8126)
C (0.2013, 0.5441, 0.4358)
C (0.7083, 0.0449, 0.6883)
Li (0.9971, 0.0025, 0.4993)
Li (0.9974, 0.0033, 0.0006)
Li (0.2514, 0.2490, 0.1251)
Li (0.7476, 0.7522, 0.3824)
Li (0.7471, 0.7525, 0.8674)